! MgTeP | Alexandria | PBE | relaxed; values from VASP
! total moment = 0.0 μB/cell
&SYSTEM
  ibrav = 0, nat = 3, ntyp = 3
/
ATOMIC_SPECIES
Mg 24.30 Mg.upf
P 30.97 P.upf
Te 127.60 Te.upf
ATOMIC_POSITIONS crystal
Mg 0.000 0.000 0.088
P 0.667 0.333 0.235
Te 0.333 0.667 0.676
CELL_PARAMETERS angstrom
4.327 0.000 0.000
-2.163 3.747 0.000
0.000 0.000 4.316

***

! MgTeP2 | Alexandria | PBE | relaxed; values from VASP
! total moment = 0.0 μB/cell
&SYSTEM
  ibrav = 0, nat = 4, ntyp = 3
/
ATOMIC_SPECIES
P 30.97 P.upf
Mg 24.30 Mg.upf
Te 127.60 Te.upf
ATOMIC_POSITIONS crystal
P 0.250 0.250 0.250
P 0.750 0.750 0.750
Mg 0.000 0.000 0.000
Te 0.500 0.500 0.500
CELL_PARAMETERS angstrom
0.000 3.391 3.391
3.391 0.000 3.391
3.391 3.391 0.000

***

! Mg4TeP | Alexandria | PBE | relaxed; values from VASP
! total moment = 0.0 μB/cell
&SYSTEM
  ibrav = 0, nat = 6, ntyp = 3
/
ATOMIC_SPECIES
Mg 24.30 Mg.upf
Te 127.60 Te.upf
P 30.97 P.upf
ATOMIC_POSITIONS crystal
Mg 0.874 0.375 0.375
Mg 0.375 0.375 0.874
Mg 0.375 0.874 0.375
Mg 0.375 0.375 0.375
Te 0.000 0.000 0.000
P 0.750 0.750 0.750
CELL_PARAMETERS angstrom
0.000 4.064 4.064
4.064 0.000 4.064
4.064 4.064 0.000

***

! MgTeP2 | Alexandria | PBE | relaxed; values from VASP
! total moment = 0.0 μB/cell
&SYSTEM
  ibrav = 0, nat = 4, ntyp = 3
/
ATOMIC_SPECIES
Mg 24.30 Mg.upf
P 30.97 P.upf
Te 127.60 Te.upf
ATOMIC_POSITIONS crystal
Mg 0.273 0.273 0.374
P 0.947 0.947 0.854
P 0.778 0.778 0.878
Te 0.503 0.503 0.394
CELL_PARAMETERS angstrom
6.715 -0.001 0.214
5.628 3.663 0.214
0.002 0.001 3.875

***

! MgTeP2 | Alexandria | PBE | relaxed; values from VASP
! total moment = 0.0 μB/cell
&SYSTEM
  ibrav = 0, nat = 4, ntyp = 3
/
ATOMIC_SPECIES
Mg 24.30 Mg.upf
P 30.97 P.upf
Te 127.60 Te.upf
ATOMIC_POSITIONS crystal
Mg 0.750 0.250 0.500
P 0.000 0.000 0.000
P 0.250 0.750 0.500
Te 0.500 0.500 0.000
CELL_PARAMETERS angstrom
6.206 0.072 0.000
3.748 4.947 0.000
-4.977 -2.509 2.730

***

! MgTeP2 | Alexandria | PBE | relaxed; values from VASP
! total moment = 0.0 μB/cell
&SYSTEM
  ibrav = 0, nat = 4, ntyp = 3
/
ATOMIC_SPECIES
Mg 24.30 Mg.upf
P 30.97 P.upf
Te 127.60 Te.upf
ATOMIC_POSITIONS crystal
Mg 0.500 0.750 0.750
P 0.000 0.066 0.924
P 0.000 0.434 0.576
Te 0.500 0.250 0.250
CELL_PARAMETERS angstrom
-2.899 -0.068 2.555
2.289 -3.358 2.508
2.784 2.689 3.231

***

! MgTeP2 | Alexandria | PBE | relaxed; values from VASP
! total moment = 0.0 μB/cell
&SYSTEM
  ibrav = 0, nat = 4, ntyp = 3
/
ATOMIC_SPECIES
Mg 24.30 Mg.upf
P 30.97 P.upf
Te 127.60 Te.upf
ATOMIC_POSITIONS crystal
Mg 0.500 0.500 0.778
P 0.000 0.000 0.070
P 0.500 0.500 0.087
Te 0.000 0.000 0.566
CELL_PARAMETERS angstrom
-0.845 0.599 3.248
2.285 -2.315 1.021
5.713 5.823 0.413

***

! MgTeP | Alexandria | PBE | relaxed; values from VASP
! total moment = 0.0 μB/cell
&SYSTEM
  ibrav = 0, nat = 3, ntyp = 3
/
ATOMIC_SPECIES
Mg 24.30 Mg.upf
P 30.97 P.upf
Te 127.60 Te.upf
ATOMIC_POSITIONS crystal
Mg 0.944 0.944 0.000
P 0.418 0.418 0.000
Te 0.639 0.639 0.000
CELL_PARAMETERS angstrom
6.219 0.028 0.000
4.011 4.753 0.000
-5.115 -2.390 2.608

***

Formation energy (no corrections)
In order: 0.039, 0.372, 0.122, -0.148, 0.317, -0.133, 0.004, -0.176
Unit: eV/atom